Version i
Here is NpUSb after structural relaxation from the Alexandria database. Energies are from PBE.

Unit cell a=3.528 b=3.528 c=5.650 alpha=108.19 beta=108.19 gamma=90.00
Positions (direct):
U 0.296 0.296 0.591
Np 0.704 0.704 0.408
Sb 0.001 0.001 0.001

Results
Symmetry   No. 107
Total moment   0.85 μB per formula unit

Version ii
Here is NpUSb after structural relaxation from the Alexandria database. Energies are from PBE.

Unit cell a=3.643 b=3.641 c=5.431 alpha=106.89 beta=73.12 gamma=96.73
Positions (direct):
Sb 0.185 0.022 0.347
U 0.845 0.361 0.949
Np 0.518 0.688 0.741

Results
Symmetry   No. 8
Total moment   1.34 μB per formula unit

Version iii
Here is NpUSb after structural relaxation from the Alexandria database. Energies are from PBE.

Unit cell a=3.732 b=5.378 c=7.081 alpha=90.00 beta=74.72 gamma=89.99
Positions (direct):
U 0.142 0.873 0.992
U 0.578 0.373 0.120
Np 0.765 0.873 0.748
Np 0.956 0.373 0.365
Sb 0.267 0.373 0.742
Sb 0.453 0.873 0.370

Results
Symmetry   No. 63
Total moment   3.21 μB per formula unit

Version iv
Here is NpUSb after structural relaxation from the Alexandria database. Energies are from PBE.

Unit cell a=2.835 b=4.842 c=11.941 alpha=112.82 beta=90.00 gamma=107.02
Positions (direct):
U 0.973 0.947 0.183
U 0.027 0.053 0.817
Sb 0.658 0.317 0.631
Sb 0.342 0.683 0.369
Np 0.165 0.329 0.081
Np 0.835 0.671 0.919

Results
Symmetry   No. 12
Total moment   0.00 μB per formula unit

What is the stability order? It is version iii, version ii, version i, version iv, from most stable to least stable.

Version i
Here is NpU2Sb after structural relaxation from the Alexandria database. Energies are from PBE.

Unit cell a=3.745 b=3.745 c=7.572 alpha=75.68 beta=75.68 gamma=60.00
Positions (direct):
Sb 0.499 0.499 0.504
Np 0.667 0.667 0.998
U 0.270 0.270 0.189
U 0.064 0.064 0.809

Results
Symmetry   No. 160
Total moment   0.00 μB per formula unit

Version ii
Here is NpU2Sb after structural relaxation from the Alexandria database. Energies are from PBE.

Unit cell a=6.516 b=6.762 c=8.048 alpha=90.00 beta=90.00 gamma=90.00
Positions (direct):
Np 0.750 0.303 0.500
Np 0.750 0.197 0.000
Np 0.250 0.697 0.500
Np 0.250 0.803 0.000
Sb 0.750 0.837 0.500
Sb 0.750 0.663 0.000
Sb 0.250 0.337 0.000
Sb 0.250 0.163 0.500
U 0.000 0.500 0.311
U 0.500 0.000 0.811
U 0.000 0.000 0.811
U 0.000 0.500 0.689
U 0.500 0.000 0.189
U 0.500 0.500 0.689
U 0.000 0.000 0.189
U 0.500 0.500 0.311

Results
Symmetry   No. 74
Total moment   0.00 μB per formula unit

Version iii
Here is NpU2Sb after structural relaxation from the Alexandria database. Energies are from PBE.

Unit cell a=3.068 b=3.068 c=11.169 alpha=82.11 beta=82.11 gamma=60.00
Positions (direct):
Np 0.000 0.000 0.000
Sb 0.500 0.500 0.500
U 0.251 0.251 0.247
U 0.749 0.749 0.753

Results
Symmetry   No. 166
Total moment   0.49 μB per formula unit

What is the stability order? It is version ii, version i, version iii, from most stable to least stable.

Version i
Here is NpV2Sb after structural relaxation from the Alexandria database. Energies are from PBE.

Unit cell a=3.469 b=4.477 c=4.477 alpha=90.00 beta=90.00 gamma=90.00
Positions (direct):
Sb 0.500 0.000 0.000
V 0.000 0.000 0.500
V 0.000 0.500 0.000
Np 0.500 0.500 0.500

Results
Symmetry   No. 123
Total moment   2.15 μB per formula unit

Version ii
Here is NpV2Sb after structural relaxation from the Alexandria database. Energies are from PBE.

Unit cell a=3.374 b=3.374 c=6.192 alpha=90.00 beta=90.00 gamma=90.00
Positions (direct):
V 0.000 0.000 0.264
V 0.000 0.000 0.736
Sb 0.500 0.500 0.000
Np 0.500 0.500 0.500

Results
Symmetry   No. 123
Total moment   3.31 μB per formula unit

What is the stability order? It is version i, version ii, from most stable to least stable.